The following is a PBE calculation of an optimized crystal structure of AsH2Ir, from Alexandria.

```
4
Lattice="0.000 2.700 2.700 2.700 0.000 2.700 2.700 2.700 0.000" Properties=species:S:1:pos:R:3 pbc="T T T"
H 1.350 1.350 1.350
H 4.050 4.050 4.050
As 0.000 0.000 0.000
Ir 2.700 2.700 2.700
```

Values from the calculation:
Its offset from the most stable computed form is 885.3 meV per atom. As for the total magnetization: 0.00 Bohr magnetons per cell.